VASP calculation (GGA+U) on a geometry-optimized HWF2 structure. Values from VASP.

Quantum ESPRESSO input file:
```
&SYSTEM
  ibrav = 0, nat = 4, ntyp = 3
/
ATOMIC_SPECIES
H 1.01 H.upf
W 183.84 W.upf
F 19.00 F.upf
CELL_PARAMETERS angstrom
0.000 2.748 2.748
2.748 0.000 2.748
2.748 2.748 0.000
ATOMIC_POSITIONS crystal
H 0.000 0.000 0.000
W 0.500 0.500 0.500
F 0.250 0.250 0.250
F 0.750 0.750 0.750
```

Excess energy over the best structure of this formula in the dataset in meV per atom: 0
Total DFT energy (no corrections) in eV/atom: -4.075


VASP calculation (GGA+U) on a geometry-optimized H3WF structure. Values from VASP.

Quantum ESPRESSO input file:
```
&SYSTEM
  ibrav = 0, nat = 5, ntyp = 3
/
ATOMIC_SPECIES
H 1.01 H.upf
W 183.84 W.upf
F 19.00 F.upf
CELL_PARAMETERS angstrom
3.648 0.000 0.000
0.000 3.648 0.000
0.000 0.000 3.648
ATOMIC_POSITIONS crystal
H 0.000 0.000 0.500
H 0.000 0.500 0.000
H 0.500 0.000 0.000
W 0.000 0.000 0.000
F 0.500 0.500 0.500
```

Excess energy over the best structure of this formula in the dataset in meV per atom: 0
Total DFT energy (no corrections) in eV/atom: -3.544


VASP calculation (GGA+U) on a geometry-optimized HWF2 structure. Values from VASP.

Quantum ESPRESSO input file:
```
&SYSTEM
  ibrav = 0, nat = 4, ntyp = 3
/
ATOMIC_SPECIES
H 1.01 H.upf
W 183.84 W.upf
F 19.00 F.upf
CELL_PARAMETERS angstrom
1.382 0.798 6.571
-1.382 0.798 6.571
0.000 -1.596 6.571
ATOMIC_POSITIONS crystal
H 0.000 0.000 0.000
W 0.500 0.500 0.500
F 0.058 0.058 0.058
F 0.942 0.942 0.942
```

Excess energy over the best structure of this formula in the dataset in meV per atom: 13
Total DFT energy (no corrections) in eV/atom: -4.062


VASP calculation (GGA+U) on a geometry-optimized HWF2 structure. Values from VASP.

Quantum ESPRESSO input file:
```
&SYSTEM
  ibrav = 0, nat = 4, ntyp = 3
/
ATOMIC_SPECIES
H 1.01 H.upf
W 183.84 W.upf
F 19.00 F.upf
CELL_PARAMETERS angstrom
1.375 0.794 6.093
-1.375 0.794 6.093
0.000 -1.588 6.093
ATOMIC_POSITIONS crystal
H 0.000 0.000 0.000
W 0.500 0.500 0.500
F 0.386 0.386 0.386
F 0.614 0.614 0.614
```

Excess energy over the best structure of this formula in the dataset in meV per atom: 146
Total DFT energy (no corrections) in eV/atom: -3.930


VASP calculation (GGA+U) on a geometry-optimized HWF3 structure. Values from VASP.

Quantum ESPRESSO input file:
```
&SYSTEM
  ibrav = 0, nat = 5, ntyp = 3
/
ATOMIC_SPECIES
H 1.01 H.upf
W 183.84 W.upf
F 19.00 F.upf
CELL_PARAMETERS angstrom
3.648 0.000 0.000
0.000 3.648 0.000
0.000 0.000 3.648
ATOMIC_POSITIONS crystal
H 0.000 0.000 0.000
W 0.500 0.500 0.500
F 0.000 0.000 0.500
F 0.000 0.500 0.000
F 0.500 0.000 0.000
```

Excess energy over the best structure of this formula in the dataset in meV per atom: 1000
Total DFT energy (no corrections) in eV/atom: -3.833


VASP calculation (GGA+U) on a geometry-optimized HWF structure. Values from VASP.

Quantum ESPRESSO input file:
```
&SYSTEM
  ibrav = 0, nat = 12, ntyp = 3
/
ATOMIC_SPECIES
H 1.01 H.upf
W 183.84 W.upf
F 19.00 F.upf
CELL_PARAMETERS angstrom
7.446 0.000 0.000
0.000 4.999 0.000
0.000 0.000 4.323
ATOMIC_POSITIONS crystal
H 0.147 0.130 0.250
H 0.147 0.370 0.750
H 0.853 0.630 0.250
H 0.853 0.870 0.750
W 0.099 0.548 0.250
W 0.099 0.952 0.750
W 0.901 0.048 0.250
W 0.901 0.452 0.750
F 0.354 0.525 0.250
F 0.354 0.975 0.750
F 0.646 0.025 0.250
F 0.646 0.475 0.750
```

Total DFT energy (no corrections) in eV/atom: -4.669


VASP calculation (GGA+U) on a geometry-optimized HWF2 structure. Values from VASP.

Quantum ESPRESSO input file:
```
&SYSTEM
  ibrav = 0, nat = 8, ntyp = 3
/
ATOMIC_SPECIES
H 1.01 H.upf
W 183.84 W.upf
F 19.00 F.upf
CELL_PARAMETERS angstrom
-2.366 2.366 3.756
2.366 -2.366 3.756
2.366 2.366 -3.756
ATOMIC_POSITIONS crystal
H 0.000 0.000 0.000
H 0.750 0.250 0.500
W 0.250 0.750 0.500
W 0.500 0.500 0.000
F 0.375 0.199 0.324
F 0.801 0.125 0.176
F 0.875 0.051 0.676
F 0.949 0.625 0.824
```

Excess energy over the best structure of this formula in the dataset in meV per atom: 469
Total DFT energy (no corrections) in eV/atom: -3.606


VASP calculation (GGA+U) on a geometry-optimized HWF3 structure. Values from VASP.

Quantum ESPRESSO input file:
```
&SYSTEM
  ibrav = 0, nat = 5, ntyp = 3
/
ATOMIC_SPECIES
H 1.01 H.upf
W 183.84 W.upf
F 19.00 F.upf
CELL_PARAMETERS angstrom
4.236 0.000 0.000
0.000 4.236 0.000
0.000 0.000 4.236
ATOMIC_POSITIONS crystal
H 0.000 0.000 0.000
W 0.500 0.500 0.500
F 0.000 0.500 0.500
F 0.500 0.000 0.500
F 0.500 0.500 0.000
```

Excess energy over the best structure of this formula in the dataset in meV per atom: 0
Total DFT energy (no corrections) in eV/atom: -4.833


Quick rundown of M_tot, same order as above: 0.75; 0.40; 0.00; 0.00; 0.77; 0.00; 0.25; 0.80 μB per atom
Quick rundown of volume, same order as above: 41; 49; 43; 40; 49; 161; 84; 76 Å³/cell
Quick rundown of calculated density, same order as above: 8.92; 7.04; 8.51; 9.27; 8.27; 8.42; 8.80; 5.28 Mg/m³